Entry A
## Cr2Pt2N (GGA-PBE)

Data for crystalline Cr2Pt2N at its relaxed geometry.

Results
Fermi-level density of states: 3.45 states/eV/f.u.

Cell: 5.159 5.159 4.775 Å, 90.00 90.00 90.00°
Space group P4/mbm (No. 127)
Unique sites:
Cr  0.170  0.330  0.000 (multiplicity 4)
Pt  0.179  0.679  0.500 (multiplicity 4)
N  0.000  0.000  0.000 (multiplicity 2)

Entry B
## Cr2Pt2N (GGA-PBE)

Data for crystalline Cr2Pt2N at its relaxed geometry.

Results
Fermi-level density of states: 6.13 states/eV/f.u.

Cell: 3.566 3.566 11.585 Å, 90.00 90.00 90.00°
Space group I4/mmm (No. 139)
Unique sites:
Cr  0.000  0.000  0.082 (multiplicity 4)
Pt  0.000  0.500  0.250 (multiplicity 4)
N  0.000  0.000  0.500 (multiplicity 2)

Ranked by calculated energy, most stable first: entry A, entry B.

Entry A
## CrPtSe2N (GGA-PBE)

Data for crystalline CrPtSe2N at its relaxed geometry.

Results
Fermi-level density of states: 5.80 states/eV/f.u.

Cell: 5.160 5.160 3.655 Å, 90.00 90.00 90.00°
Space group P4/mmm (No. 123)
Unique sites:
Cr  0.000  0.000  0.000 (multiplicity 1)
Pt  0.500  0.500  0.500 (multiplicity 1)
Se  0.000  0.500  0.500 (multiplicity 2)
N  0.500  0.500  0.000 (multiplicity 1)

Entry B
## CrPtSe2N (GGA-PBE)

Data for crystalline CrPtSe2N at its relaxed geometry.

Results
Fermi-level density of states: 3.08 states/eV/f.u.

Cell: 4.889 4.889 3.462 Å, 90.00 90.00 90.00°
Space group P4/mmm (No. 123)
Unique sites:
Cr  0.000  0.000  0.000 (multiplicity 1)
Pt  0.500  0.500  0.500 (multiplicity 1)
Se  0.000  0.500  0.000 (multiplicity 2)
N  0.000  0.000  0.500 (multiplicity 1)

Ranked by calculated energy, most stable first: entry B, entry A.

Entry A
## TaCr2PtN (GGA-PBE)

Data for crystalline TaCr2PtN at its relaxed geometry.

Results
Fermi-level density of states: 5.03 states/eV/f.u.

Cell: 3.889 3.889 4.249 Å, 90.00 90.00 90.00°
Space group P4/mmm (No. 123)
Unique sites:
Ta  0.000  0.000  0.000 (multiplicity 1)
Cr  0.000  0.500  0.500 (multiplicity 2)
Pt  0.500  0.500  0.000 (multiplicity 1)
N  0.500  0.500  0.500 (multiplicity 1)

Entry B
## TaCr2PtN (GGA-PBE)

Data for crystalline TaCr2PtN at its relaxed geometry.

Results
Fermi-level density of states: 5.04 states/eV/f.u.

Cell: 3.897 3.897 4.182 Å, 90.00 90.00 90.00°
Space group P4/mmm (No. 123)
Unique sites:
Ta  0.000  0.000  0.000 (multiplicity 1)
Cr  0.000  0.500  0.500 (multiplicity 2)
Pt  0.500  0.500  0.000 (multiplicity 1)
N  0.000  0.000  0.500 (multiplicity 1)

Ranked by calculated energy, most stable first: entry B, entry A.

Entry A
## CrTe2PtN (GGA-PBE)

Data for crystalline CrTe2PtN at its relaxed geometry.

Results
Fermi-level density of states: 2.02 states/eV/f.u.

Cell: 5.599 5.599 3.669 Å, 90.00 90.00 90.00°
Space group P4/mmm (No. 123)
Unique sites:
Cr  0.000  0.000  0.000 (multiplicity 1)
Te  0.000  0.500  0.500 (multiplicity 2)
Pt  0.500  0.500  0.500 (multiplicity 1)
N  0.500  0.500  0.000 (multiplicity 1)

Entry B
## CrTe2PtN (GGA-PBE)

Data for crystalline CrTe2PtN at its relaxed geometry.

Results
Fermi-level density of states: 3.14 states/eV/f.u.

Cell: 5.232 5.232 3.481 Å, 90.00 90.00 90.00°
Space group P4/mmm (No. 123)
Unique sites:
Cr  0.000  0.000  0.000 (multiplicity 1)
Te  0.000  0.500  0.000 (multiplicity 2)
Pt  0.500  0.500  0.500 (multiplicity 1)
N  0.000  0.000  0.500 (multiplicity 1)

Ranked by calculated energy, most stable first: entry B, entry A.